Record 1
DFT (SCAN) results for a PBEsol-optimized structure of TlCdIn2.

POSCAR file:
```
TlCdIn2
1.0
3.2826 0.0000 0.0000
0.0000 6.1441 0.1857
-1.6413 -0.8564 4.9640
Tl In Cd
1 2 1
Direct
0.4966 0.4934 0.9931
0.0032 0.0059 0.0063
0.2526 0.7594 0.5053
0.7476 0.2413 0.4953
```

DFT total energy: -169.23 eV/f.u.
SG: Cm, No. 8
crystal system: monoclinic
total magnetization: 0.00 Bohr magnetons per cell

Record 2
DFT (SCAN) results for a PBEsol-optimized structure of TlCd2In.

POSCAR file:
```
TlCd2In
1.0
3.2311 0.0000 0.0000
0.0000 3.2311 0.0000
0.0000 0.0000 9.2000
Cd Tl In
2 1 1
Direct
0.0000 0.0000 0.0194
0.5000 0.5000 0.2381
0.5000 0.5000 0.7619
0.0000 0.0000 0.4805
```

excess energy over the best structure of this formula in the dataset: 0.0000 eV/atom
SG: P4mm, No. 99
crystal system: tetragonal
total magnetization: 0.00 Bohr magnetons per cell

What is the total magnetization in the second record?
0.00 Bohr magnetons per cell